{
  "formula": "CaLaSm2Hg4",
  "functional": "PBE",
  "state": "optimized geometry",
  "lattice_angstrom": [[2.695, 1.556, 8.885], [-2.695, 1.556, 8.885], [0.000, -3.112, 8.885]],
  "species": ["Ca", "La", "Sm", "Sm", "Hg", "Hg", "Hg", "Hg"],
  "fractional_positions": [[0.000, 0.000, 0.000], [0.500, 0.500, 0.500], [0.253, 0.253, 0.253], [0.747, 0.747, 0.747], [0.123, 0.123, 0.123], [0.375, 0.375, 0.375], [0.625, 0.625, 0.625], [0.877, 0.877, 0.877]],
  "spacegroup": "No. 166",
  "formation_energy_kj_per_mol_fu": -391,
  "dos_ef_per_ev_fu": 6.83
}

{
  "formula": "CaLa2SmHg4",
  "functional": "PBE",
  "state": "optimized geometry",
  "lattice_angstrom": [[2.729, 1.576, 8.893], [-2.729, 1.576, 8.893], [0.000, -3.151, 8.893]],
  "species": ["Ca", "La", "La", "Sm", "Hg", "Hg", "Hg", "Hg"],
  "fractional_positions": [[0.000, 0.000, 0.000], [0.252, 0.252, 0.252], [0.748, 0.748, 0.748], [0.500, 0.500, 0.500], [0.126, 0.126, 0.126], [0.376, 0.376, 0.376], [0.624, 0.624, 0.624], [0.874, 0.874, 0.874]],
  "spacegroup": "No. 166",
  "formation_energy_kj_per_mol_fu": -405,
  "dos_ef_per_ev_fu": 6.55
}

{
  "formula": "CaLaTbHg",
  "functional": "PBE",
  "state": "optimized geometry",
  "lattice_angstrom": [[3.688, 0.000, 0.000], [0.000, 3.688, 0.000], [0.000, 0.000, 9.446]],
  "species": ["Ca", "La", "Tb", "Hg"],
  "fractional_positions": [[0.000, 0.000, 0.000], [0.500, 0.500, 0.323], [0.000, 0.000, 0.591], [0.500, 0.500, 0.787]],
  "spacegroup": "No. 99",
  "formation_energy_kj_per_mol_fu": -94,
  "dos_ef_per_ev_fu": 5.55
}

{
  "formula": "Ca2LaTbHg4",
  "functional": "PBE",
  "state": "optimized geometry",
  "lattice_angstrom": [[2.684, 1.550, 8.794], [-2.684, 1.550, 8.794], [0.000, -3.099, 8.794]],
  "species": ["Ca", "Ca", "La", "Tb", "Hg", "Hg", "Hg", "Hg"],
  "fractional_positions": [[0.249, 0.249, 0.249], [0.751, 0.751, 0.751], [0.000, 0.000, 0.000], [0.500, 0.500, 0.500], [0.127, 0.127, 0.127], [0.378, 0.378, 0.378], [0.622, 0.622, 0.622], [0.873, 0.873, 0.873]],
  "spacegroup": "No. 166",
  "formation_energy_kj_per_mol_fu": -419,
  "dos_ef_per_ev_fu": 6.64
}

{
  "formula": "CaLa2TbHg4",
  "functional": "PBE",
  "state": "optimized geometry",
  "lattice_angstrom": [[2.720, 1.570, 8.856], [-2.720, 1.570, 8.856], [0.000, -3.140, 8.856]],
  "species": ["Ca", "La", "La", "Tb", "Hg", "Hg", "Hg", "Hg"],
  "fractional_positions": [[0.000, 0.000, 0.000], [0.251, 0.251, 0.251], [0.749, 0.749, 0.749], [0.500, 0.500, 0.500], [0.127, 0.127, 0.127], [0.377, 0.377, 0.377], [0.623, 0.623, 0.623], [0.873, 0.873, 0.873]],
  "spacegroup": "No. 166",
  "formation_energy_kj_per_mol_fu": -406,
  "dos_ef_per_ev_fu": 5.67
}

{
  "formula": "Ca2LaThHg4",
  "functional": "PBE",
  "state": "optimized geometry",
  "lattice_angstrom": [[2.707, 1.563, 8.855], [-2.707, 1.563, 8.855], [0.000, -3.125, 8.855]],
  "species": ["Ca", "Ca", "La", "Th", "Hg", "Hg", "Hg", "Hg"],
  "fractional_positions": [[0.249, 0.249, 0.249], [0.751, 0.751, 0.751], [0.500, 0.500, 0.500], [0.000, 0.000, 0.000], [0.123, 0.123, 0.123], [0.373, 0.373, 0.373], [0.627, 0.627, 0.627], [0.877, 0.877, 0.877]],
  "spacegroup": "No. 166",
  "formation_energy_kj_per_mol_fu": -361,
  "dos_ef_per_ev_fu": 4.21
}

{
  "formula": "CaLaVHg2",
  "functional": "PBE",
  "state": "optimized geometry",
  "lattice_angstrom": [[5.390, 0.000, 0.000], [0.000, 5.390, 0.000], [0.000, 0.000, 4.934]],
  "species": ["Ca", "La", "V", "Hg", "Hg"],
  "fractional_positions": [[0.000, 0.000, 0.000], [0.500, 0.500, 0.000], [0.500, 0.500, 0.500], [0.000, 0.500, 0.500], [0.500, 0.000, 0.500]],
  "spacegroup": "No. 123",
  "formation_energy_kj_per_mol_fu": 76,
  "dos_ef_per_ev_fu": 3.76
}

{
  "formula": "CaLaY2Hg4",
  "functional": "PBE",
  "state": "optimized geometry",
  "lattice_angstrom": [[2.667, 1.540, 8.838], [-2.667, 1.540, 8.838], [0.000, -3.080, 8.838]],
  "species": ["Ca", "La", "Y", "Y", "Hg", "Hg", "Hg", "Hg"],
  "fractional_positions": [[0.000, 0.000, 0.000], [0.500, 0.500, 0.500], [0.253, 0.253, 0.253], [0.747, 0.747, 0.747], [0.122, 0.122, 0.122], [0.375, 0.375, 0.375], [0.625, 0.625, 0.625], [0.878, 0.878, 0.878]],
  "spacegroup": "No. 166",
  "formation_energy_kj_per_mol_fu": -394,
  "dos_ef_per_ev_fu": 6.36
}

Copy entry 5 word for word.
{
  "formula": "CaLa2TbHg4",
  "functional": "PBE",
  "state": "optimized geometry",
  "lattice_angstrom": [[2.720, 1.570, 8.856], [-2.720, 1.570, 8.856], [0.000, -3.140, 8.856]],
  "species": ["Ca", "La", "La", "Tb", "Hg", "Hg", "Hg", "Hg"],
  "fractional_positions": [[0.000, 0.000, 0.000], [0.251, 0.251, 0.251], [0.749, 0.749, 0.749], [0.500, 0.500, 0.500], [0.127, 0.127, 0.127], [0.377, 0.377, 0.377], [0.623, 0.623, 0.623], [0.873, 0.873, 0.873]],
  "spacegroup": "No. 166",
  "formation_energy_kj_per_mol_fu": -406,
  "dos_ef_per_ev_fu": 5.67
}